Density functional theory data (PBE-GGA) for a relaxed TbMgIn2 crystal.

Lattice parameters (Å, degrees): 4.802 4.802 5.866 65.84 65.84 60.00
Fractional positions:
Mg (0.500, 0.500, 0.500)
Tb (0.000, 0.000, 0.000)
In (0.770, 0.770, 0.689)
In (0.230, 0.230, 0.311)

## Properties
ΔE_f (eV per atom): -0.27
SG: R-3m, No. 166
Theoretical density (g cm⁻³): 6.6

=====

Density functional theory data (PBE-GGA) for a relaxed TbMgIn crystal.

Lattice parameters (Å, degrees): 4.702 7.542 7.542 120.00 90.00 90.00
Fractional positions:
Mg (0.500, 0.241, 0.000)
Mg (0.500, 0.000, 0.241)
Mg (0.500, 0.759, 0.759)
Tb (0.000, 0.435, 0.435)
Tb (0.000, 0.565, 0.000)
Tb (0.000, 0.000, 0.565)
In (0.500, 0.667, 0.333)
In (0.500, 0.333, 0.667)
In (0.000, 0.000, 0.000)

## Properties
ΔE_f (eV per atom): -0.40
SG: P-62m, No. 189
Theoretical density (g cm⁻³): 6.4

=====

Density functional theory data (PBE-GGA) for a relaxed TbMg2In2 crystal.

Lattice parameters (Å, degrees): 5.127 5.127 12.166 90.00 90.00 120.00
Fractional positions:
Tb (0.000, 0.000, 0.250)
Tb (0.000, 0.000, 0.750)
Mg (0.333, 0.667, 0.606)
Mg (0.667, 0.333, 0.106)
Mg (0.667, 0.333, 0.394)
Mg (0.333, 0.667, 0.894)
In (0.667, 0.333, 0.750)
In (0.000, 0.000, 0.000)
In (0.000, 0.000, 0.500)
In (0.333, 0.667, 0.250)

## Properties
Relative energy among the computed polymorphs (meV per atom): 162.9
ΔE_f (eV per atom): -0.06
SG: P6_3/mmc, No. 194
Theoretical density (g cm⁻³): 5.2

=====

Density functional theory data (PBE-GGA) for a relaxed Tb6MgIn2 crystal.

Lattice parameters (Å, degrees): 5.165 7.446 9.031 114.35 106.71 90.00
Fractional positions:
Tb (0.166, 0.416, 0.333)
Tb (0.834, 0.083, 0.667)
Tb (0.834, 0.584, 0.667)
Tb (0.500, 0.252, 0.000)
Tb (0.166, 0.917, 0.333)
Tb (0.500, 0.748, 0.000)
Mg (0.000, 0.000, 0.000)
In (0.667, 0.667, 0.335)
In (0.333, 0.333, 0.665)

## Properties
ΔE_f (eV per atom): 0.09
SG: C2/m, No. 12
Theoretical density (g cm⁻³): 6.7

=====

Density functional theory data (PBE-GGA) for a relaxed Tb8MgIn2 crystal.

Lattice parameters (Å, degrees): 5.384 8.590 8.597 119.16 108.25 90.00
Fractional positions:
Tb (0.408, 0.549, 0.815)
Tb (0.681, 0.943, 0.362)
Tb (0.864, 0.817, 0.727)
Tb (0.936, 0.279, 0.871)
Tb (0.136, 0.183, 0.273)
Tb (0.319, 0.057, 0.638)
Tb (0.592, 0.451, 0.185)
Tb (0.064, 0.721, 0.129)
Mg (0.500, 0.000, 0.000)
In (0.772, 0.373, 0.543)
In (0.228, 0.627, 0.457)

## Properties
ΔE_f (eV per atom): -0.18
SG: C2/m, No. 12
Theoretical density (g cm⁻³): 7.8

=====

Density functional theory data (PBE-GGA) for a relaxed Tb3Mg5In2 crystal.

Lattice parameters (Å, degrees): 6.230 9.803 9.803 89.15 71.47 71.47
Fractional positions:
Tb (0.250, 0.000, 0.000)
Tb (0.750, 0.000, 0.000)
Tb (0.374, 0.361, 0.892)
Tb (0.626, 0.639, 0.108)
Tb (0.874, 0.892, 0.361)
Tb (0.126, 0.108, 0.639)
Mg (0.250, 0.500, 0.500)
Mg (0.750, 0.500, 0.500)
Mg (0.506, 0.744, 0.744)
Mg (0.994, 0.256, 0.256)
Mg (0.494, 0.256, 0.256)
Mg (0.006, 0.744, 0.744)
Mg (0.115, 0.535, 0.236)
Mg (0.885, 0.465, 0.764)
Mg (0.615, 0.236, 0.535)
Mg (0.385, 0.764, 0.465)
In (0.140, 0.707, 0.012)
In (0.860, 0.293, 0.988)
In (0.640, 0.012, 0.707)
In (0.360, 0.988, 0.293)

## Properties
ΔE_f (eV per atom): -0.08
SG: Ibam, No. 72
Theoretical density (g cm⁻³): 5.1